Record 1
! La2SCl, relaxed, DFT PBE; values from VASP
! - D(E_F): 3.2 states/eV/f.u.
! - Volume: 26.25 A^3/atom
! - Formation energy (no corrections): -1.819 eV per atom
! - Energy relative to the lowest polymorph listed for this composition: 65 meV per atom
! - Symmetry: No. 160
&SYSTEM
  ibrav = 0, nat = 4, ntyp = 3
/
ATOMIC_SPECIES
Cl 35.45 Cl.upf
S 32.06 S.upf
La 138.91 La.upf
ATOMIC_POSITIONS crystal
Cl 0.4987 0.4987 0.5039
S 0.6667 0.6667 0.9998
La 0.2609 0.2609 0.2173
La 0.0737 0.0737 0.7790
CELL_PARAMETERS angstrom
-2.4778 1.4602 -2.8226
-3.8204 0.8798 0.9323
-0.0583 7.7313 1.1742

=====

Record 2
! RbLaB2Pd, relaxed, DFT PBE; values from VASP
! - D(E_F): 2.3 states/eV/f.u.
! - Energy relative to the elements: 1.09 eV/atom
! - Volume: 20.46 A^3/atom
! - Symmetry: No. 123
&SYSTEM
  ibrav = 0, nat = 5, ntyp = 4
/
ATOMIC_SPECIES
Pd 106.42 Pd.upf
La 138.91 La.upf
B 10.81 B.upf
Rb 85.47 Rb.upf
ATOMIC_POSITIONS crystal
Pd 0.0000 0.0000 0.0000
La 0.5000 0.5000 0.5000
B 0.0000 0.0000 0.5000
B 0.5000 0.0000 0.0000
Rb 0.0000 0.5000 0.0000
CELL_PARAMETERS angstrom
4.3692 0.0000 0.0000
0.0000 5.3595 0.0000
0.0000 0.0000 4.3692

=====

Record 3
! La2Pr3NbN6, relaxed, DFT PBE; values from VASP
! - D(E_F): 2.2 states/eV/f.u.
! - Volume: 16.38 A^3/atom
! - Formation energy (no corrections): -1.227 eV per atom
! - Symmetry: No. 12
&SYSTEM
  ibrav = 0, nat = 12, ntyp = 4
/
ATOMIC_SPECIES
Pr 140.91 Pr.upf
N 14.01 N.upf
Nb 92.91 Nb.upf
La 138.91 La.upf
ATOMIC_POSITIONS crystal
Pr 0.8376 0.1624 0.5000
Pr 0.5000 0.5000 0.5000
Pr 0.1624 0.8376 0.5000
N 0.3680 0.0751 0.2225
N 0.7780 0.7780 0.2347
N 0.0751 0.3680 0.2225
N 0.2220 0.2220 0.7653
N 0.9249 0.6320 0.7775
N 0.6320 0.9249 0.7775
Nb 0.0000 0.0000 0.0000
La 0.6673 0.3327 0.0000
La 0.3327 0.6673 0.0000
CELL_PARAMETERS angstrom
6.2460 -0.0026 0.0062
-3.1237 5.4087 0.0062
-1.0359 -1.7936 5.8153